Compound: Ce3Nd4Co2
Source: Alexandria
Functional: PBE
Structure: optimized geometry

Lattice parameters (Å, degrees): 3.649 8.849 8.709 116.26 102.09 90.00
Element x y z (fractional)
Ce (0.075, 0.191, 0.150)
Ce (0.925, 0.809, 0.850)
Ce (0.000, 0.500, 0.000)
Nd (0.229, 0.644, 0.457)
Nd (0.771, 0.356, 0.543)
Nd (0.627, 0.885, 0.254)
Nd (0.373, 0.115, 0.746)
Co (0.423, 0.606, 0.846)
Co (0.577, 0.394, 0.154)

Calculated values
Energy relative to the elements = -0.0886 eV per atom
Uncorrected energy = -5.765 eV/atom
SG = C2/m